Computed, not measured: a relaxed Ba2AlHg2 crystal at the GGA-PBE level of DFT.

Lattice parameters (Å, degrees): 8.6492 8.6492 4.6696 90.00 90.00 90.00
Space group P4/mbm (No. 127)
Symmetry-distinct sites (fractional):
Ba: 0.1786 0.3214 0.0000 x4
Al: 0.0000 0.0000 0.5000 x2
Hg: 0.1259 0.6259 0.5000 x4

Output
- ΔE to the lowest computed polymorph (eV per formula unit) = 0.00
- DFT formation energy (eV per atom) = -0.260

Computed, not measured: a relaxed BaAlHgI2 crystal at the GGA-PBE level of DFT.

Lattice parameters (Å, degrees): 5.9864 5.9864 6.3149 90.00 90.00 90.00
Space group P4/mmm (No. 123)
Symmetry-distinct sites (fractional):
Ba: 0.0000 0.0000 0.0000 x1
Al: 0.0000 0.0000 0.5000 x1
Hg: 0.5000 0.5000 0.0000 x1
I: 0.0000 0.5000 0.5000 x2

Output
- uncorrected formation energy (eV/atom) = -0.33

Computed, not measured: a relaxed Ba2AlIn3Hg4 crystal at the GGA-PBE level of DFT.

Lattice parameters (Å, degrees): 4.9436 4.9436 11.9080 90.00 90.00 90.00
Space group P-4m2 (No. 115)
Symmetry-distinct sites (fractional):
Ba: 0.0000 0.5000 0.2491 x2
Al: 0.5000 0.5000 0.0000 x1
In: 0.0000 0.0000 0.0000 x1
In: 0.0000 0.5000 0.6350 x2
Hg: 0.0000 0.0000 0.5000 x1
Hg: 0.0000 0.5000 0.8750 x2
Hg: 0.5000 0.5000 0.5000 x1

Output
- DFT formation energy (eV per atom) = -0.331

Computed, not measured: a relaxed Ba2Al4InHg3 crystal at the GGA-PBE level of DFT.

Lattice parameters (Å, degrees): 4.7308 4.7308 11.5406 90.00 90.00 90.00
Space group P-4m2 (No. 115)
Symmetry-distinct sites (fractional):
Ba: 0.0000 0.5000 0.2478 x2
Al: 0.0000 0.0000 0.0000 x1
Al: 0.0000 0.5000 0.6374 x2
Al: 0.5000 0.5000 0.0000 x1
In: 0.0000 0.0000 0.5000 x1
Hg: 0.0000 0.5000 0.8720 x2
Hg: 0.5000 0.5000 0.5000 x1

Output
- DFT formation energy (eV per atom) = -0.296

Computed, not measured: a relaxed Ba2Al4In3Hg crystal at the GGA-PBE level of DFT.

Lattice parameters (Å, degrees): 4.8075 4.8075 11.5721 90.00 90.00 90.00
Space group P-4m2 (No. 115)
Symmetry-distinct sites (fractional):
Ba: 0.0000 0.5000 0.2495 x2
Al: 0.0000 0.0000 0.0000 x1
Al: 0.0000 0.5000 0.6284 x2
Al: 0.5000 0.5000 0.0000 x1
In: 0.0000 0.5000 0.8674 x2
In: 0.5000 0.5000 0.5000 x1
Hg: 0.0000 0.0000 0.5000 x1

Output
- DFT formation energy (eV per atom) = -0.275

Computed, not measured: a relaxed BaAlIn2Hg4 crystal at the GGA-PBE level of DFT.

Lattice parameters (Å, degrees): 5.1155 5.1155 29.1396 90.00 90.00 120.00
Space group R-3m (No. 166, hexagonal axes)
Symmetry-distinct sites (fractional):
Ba: 0.0000 0.0000 0.0000 x3
Al: 0.0000 0.0000 0.5000 x3
In: 0.0000 0.0000 0.2430 x6
Hg: 0.0000 0.0000 0.1342 x6
Hg: 0.0000 0.0000 0.3991 x6

Output
- DFT formation energy (eV per atom) = -0.156

Number 1: total energy -1.8981 eV per atom. Number 2: total energy -2.1408 eV per atom. Number 3: total energy -2.0318 eV per atom. Number 4: total energy -2.5422 eV per atom. Number 5: total energy -3.0079 eV per atom. Number 6: total energy -1.6993 eV per atom.